A PBEsol-optimized structure of ScTiAl2. Source: the Alexandria database, functional SCAN.

- Mass density: 3.25 g/cm³
- Space-group type: I-42d, No. 122
- Energy of formation from the pure elements: 7 kJ per mole of atoms
- Volume: 18.73 Å³ per atom
- Magnetization: 2.7 Bohr magnetons per cell

Cell lengths 5.535, 5.893, 5.893 Å; angles 77.26, 61.99, 61.99 degrees
Last column: magnetic moment on the atom in μB.
Fractional coordinates of all 8 atoms:
1 Ti 0.750 0.500 0.500  0.91
2 Ti 0.000 0.000 0.000  0.91
3 Sc 0.250 0.500 0.500  0.25
4 Sc 0.500 0.000 0.000  0.25
5 Al 0.875 0.487 0.013  0.00
6 Al 0.638 0.987 0.487  0.00
7 Al 0.112 0.013 0.513  0.00
8 Al 0.375 0.513 0.987  0.00